Entry 1:
VASP calculation (PBE) on an optimized crystal structure of Na2Li2Hf.

Cell: 7.7979 7.7979 7.7979 Å, 150.50 150.50 42.21°
With the nearest neighbours (Å) after each atom.
Atoms (fractional coordinates):
Na: 0.2500 0.7500 0.5000  4 Na 2.81, 4 Li 3.07
Na: 0.7500 0.2500 0.5000  4 Na 2.81, 4 Li 3.07
Li: 0.0892 0.0892 0.0000  1 Li 2.60
Li: 0.9108 0.9108 0.0000  1 Li 2.60
Hf: 0.5000 0.5000 0.0000  8 Li 3.09

symmetry	I4/mmm, No. 139
energy above the lowest structure with this stoichiometry	3.17	kcal/mol of atoms


Entry 2:
VASP calculation (PBE) on an optimized crystal structure of NaLi2Hf2.

Cell: 8.9545 8.9545 2.8649 Å, 90.00 90.00 90.00°
With the nearest neighbours (Å) after each atom.
Atoms (fractional coordinates):
Na: 0.0000 0.0000 0.0000  2 Na 2.86
Na: 0.5000 0.5000 0.0000  2 Na 2.86
Li: 0.1766 0.3234 0.0000  2 Li 2.86, 6 Hf 2.98-3.04
Li: 0.3234 0.8234 0.0000  2 Li 2.86, 6 Hf 2.98-3.04
Li: 0.6766 0.1766 0.0000  2 Li 2.86, 6 Hf 2.98-3.04
Li: 0.8234 0.6766 0.0000  2 Li 2.86, 6 Hf 2.98-3.04
Hf: 0.1170 0.6170 0.5000  3 Hf 2.86-2.96, 6 Li 2.98-3.04
Hf: 0.3830 0.1170 0.5000  3 Hf 2.86-2.96, 6 Li 2.98-3.04
Hf: 0.6170 0.8830 0.5000  3 Hf 2.86-2.96, 6 Li 2.98-3.04
Hf: 0.8830 0.3830 0.5000  3 Hf 2.86-2.96, 6 Li 2.98-3.04

symmetry	P4/mbm, No. 127
energy above the lowest structure with this stoichiometry	0.75	kcal/mol of atoms


Entry 3:
VASP calculation (PBE) on an optimized crystal structure of NaLi2Hf2.

Cell: 7.9460 7.9460 7.9460 Å, 150.50 150.50 42.20°
With the nearest neighbours (Å) after each atom.
Atoms (fractional coordinates):
Na: 0.0000 0.0000 0.0000  8 Li 3.20
Li: 0.4033 0.4033 0.0000  1 Li 2.87, 4 Hf 3.04, 4 Na 3.20
Li: 0.5967 0.5967 0.0000  1 Li 2.87, 4 Hf 3.04, 4 Na 3.20
Hf: 0.2500 0.7500 0.5000  4 Hf 2.86, 4 Li 3.04
Hf: 0.7500 0.2500 0.5000  4 Hf 2.86, 4 Li 3.04

symmetry	I4/mmm, No. 139
energy above the lowest structure with this stoichiometry	0.00	kcal/mol of atoms


Entry 4:
VASP calculation (PBE) on an optimized crystal structure of NaLiHf3.

Cell: 5.0388 5.0388 5.0388 Å, 90.00 90.00 90.00°
With the nearest neighbours (Å) after each atom.
Atoms (fractional coordinates):
Na: 0.0000 0.0000 0.0000  6 Hf 2.52
Li: 0.5000 0.5000 0.5000  12 Hf 3.56
Hf: 0.0000 0.0000 0.5000  2 Na 2.52
Hf: 0.0000 0.5000 0.0000  2 Na 2.52
Hf: 0.5000 0.0000 0.0000  2 Na 2.52

symmetry	Pm-3m, No. 221
energy above the lowest structure with this stoichiometry	13.67	kcal/mol of atoms


Entry 5:
VASP calculation (PBE) on an optimized crystal structure of NaLi3Hf.

Cell: 4.6944 4.6944 4.6944 Å, 90.00 90.00 90.00°
With the nearest neighbours (Å) after each atom.
Atoms (fractional coordinates):
Na: 0.0000 0.0000 0.0000  6 Li 2.35
Li: 0.0000 0.0000 0.5000  2 Na 2.35
Li: 0.0000 0.5000 0.0000  2 Na 2.35
Li: 0.5000 0.0000 0.0000  2 Na 2.35
Hf: 0.5000 0.5000 0.5000  12 Li 3.32

symmetry	Pm-3m, No. 221
energy above the lowest structure with this stoichiometry	0.00	kcal/mol of atoms


Entry 6:
VASP calculation (PBE) on an optimized crystal structure of Na2LiHfO4.

Cell: 5.0475 5.0475 5.0475 Å, 107.77 107.77 112.93°
With the nearest neighbours (Å) after each atom.
Atoms (fractional coordinates):
Na: 0.0000 0.5000 0.5000  8 O 2.55-2.65, 2 Na 2.79
Na: 0.5000 0.0000 0.5000  8 O 2.55-2.65, 2 Na 2.79
Li: 0.0000 0.0000 0.0000  4 O 2.09
Hf: 0.5000 0.5000 0.0000  4 O 1.97
O: 0.0897 0.4417 0.0000  1 Hf 1.97, 1 Li 2.09
O: 0.4417 0.0897 0.0000  1 Hf 1.97, 1 Li 2.09
O: 0.5583 0.5583 0.6480  1 Hf 1.97, 1 Li 2.09
O: 0.9103 0.9103 0.3520  1 Hf 1.97, 1 Li 2.09

symmetry	I-42m, No. 121
E_form (uncorrected)	-1954	meV/atom


Entry 7:
VASP calculation (PBE) on an optimized crystal structure of Na2Li2HfO4.

Cell: 5.7833 5.7833 7.8352 Å, 126.13 126.13 32.36°
With the nearest neighbours (Å) after each atom.
Atoms (fractional coordinates):
Na: 0.1751 0.1751 0.2826  5 O 2.35-2.48
Na: 0.8249 0.8249 0.7174  5 O 2.35-2.48
Li: 0.3434 0.3434 0.1162  4 O 1.95-2.01
Li: 0.6566 0.6566 0.8838  4 O 1.95-2.01
Hf: 0.0000 0.0000 0.5000  6 O 2.08-2.14
O: 0.2140 0.2140 0.8009  3 Li 1.95-1.98, 1 Hf 2.08
O: 0.4390 0.4390 0.6135  1 Li 2.01, 2 Hf 2.14
O: 0.5610 0.5610 0.3865  1 Li 2.01, 2 Hf 2.14
O: 0.7860 0.7860 0.1991  3 Li 1.95-1.98, 1 Hf 2.08

symmetry	C2/m, No. 12
E_form (uncorrected)	-2346	meV/atom


Entry 8:
VASP calculation (PBE) on an optimized crystal structure of NaLiHfO3.

Cell: 5.8460 5.8460 8.3401 Å, 90.00 90.00 147.79°
With the nearest neighbours (Å) after each atom.
Atoms (fractional coordinates):
Na: 0.2018 0.7982 0.7500  4 O 2.49-2.59
Na: 0.7982 0.2018 0.2500  4 O 2.49-2.59
Li: 0.0665 0.9335 0.2500  4 O 1.85-1.97
Li: 0.9335 0.0665 0.7500  4 O 1.85-1.97
Hf: 0.5000 0.5000 0.0000  6 O 2.11-2.12
Hf: 0.5000 0.5000 0.5000  6 O 2.11-2.12
O: 0.1167 0.8833 0.0385  1 Li 1.85
O: 0.1167 0.8833 0.4615  1 Li 1.85
O: 0.4667 0.5333 0.2500  2 Li 1.97, 2 Hf 2.12
O: 0.5333 0.4667 0.7500  2 Li 1.97, 2 Hf 2.12
O: 0.8833 0.1167 0.5385  1 Li 1.85
O: 0.8833 0.1167 0.9615  1 Li 1.85

symmetry	Cmcm, No. 63
E_form (uncorrected)	-2586	meV/atom


Entry 9:
VASP calculation (PBE) on an optimized crystal structure of Na3LiHf2O6.

Cell: 5.5169 5.5169 5.7941 Å, 99.20 99.20 119.91°
With the nearest neighbours (Å) after each atom.
Atoms (fractional coordinates):
Na: 0.0000 0.0000 0.0000  6 O 2.34-2.50
Na: 0.3426 0.6574 0.0000  6 O 2.39-2.51
Na: 0.6574 0.3426 0.0000  6 O 2.39-2.51
Li: 0.5000 0.5000 0.5000  6 O 2.29
Hf: 0.1674 0.8326 0.5000  6 O 2.10-2.11
Hf: 0.8326 0.1674 0.5000  6 O 2.10-2.11
O: 0.0711 0.4305 0.2928  2 Hf 2.10-2.11, 1 Li 2.29
O: 0.2104 0.2104 0.7079  2 Hf 2.11, 1 Li 2.29, 1 Na 2.34
O: 0.4305 0.0711 0.2928  2 Hf 2.10-2.11, 1 Li 2.29
O: 0.5695 0.9289 0.7072  2 Hf 2.10-2.11, 1 Li 2.29
O: 0.7896 0.7896 0.2921  2 Hf 2.11, 1 Li 2.29, 1 Na 2.34
O: 0.9289 0.5695 0.7072  2 Hf 2.10-2.11, 1 Li 2.29

symmetry	C2/m, No. 12
E_form (uncorrected)	-2681	meV/atom


Entry 10:
VASP calculation (PBE) on an optimized crystal structure of Na4LiHf3O8.

Cell: 6.6229 6.6229 6.6229 Å, 57.48 57.48 57.48°
With the nearest neighbours (Å) after each atom.
Atoms (fractional coordinates):
Na: 0.0000 0.0000 0.0000  6 O 2.37
Na: 0.0000 0.5000 0.5000  6 O 2.43-2.49
Na: 0.5000 0.0000 0.5000  6 O 2.43-2.49
Na: 0.5000 0.5000 0.0000  6 O 2.43-2.49
Li: 0.5000 0.5000 0.5000  6 O 2.25
Hf: 0.0000 0.0000 0.5000  6 O 2.12-2.18
Hf: 0.0000 0.5000 0.0000  6 O 2.12-2.18
Hf: 0.5000 0.0000 0.0000  6 O 2.12-2.18
O: 0.2171 0.7447 0.7447  2 Hf 2.12, 1 Li 2.25, 1 Na 2.37
O: 0.2371 0.2371 0.2371  3 Hf 2.18, 3 Na 2.43
O: 0.2553 0.2553 0.7829  2 Hf 2.12, 1 Li 2.25, 1 Na 2.37
O: 0.2553 0.7829 0.2553  2 Hf 2.12, 1 Li 2.25, 1 Na 2.37
O: 0.7447 0.2171 0.7447  2 Hf 2.12, 1 Li 2.25, 1 Na 2.37
O: 0.7447 0.7447 0.2171  2 Hf 2.12, 1 Li 2.25, 1 Na 2.37
O: 0.7629 0.7629 0.7629  3 Hf 2.18, 3 Na 2.43
O: 0.7829 0.2553 0.2553  2 Hf 2.12, 1 Li 2.25, 1 Na 2.37

symmetry	R-3m, No. 166
E_form (uncorrected)	-2582	meV/atom


Entry 11:
VASP calculation (PBE) on an optimized crystal structure of NaLi2Hf2O6.

Cell: 7.1382 7.1382 7.1382 Å, 49.23 49.23 49.23°
With the nearest neighbours (Å) after each atom.
Atoms (fractional coordinates):
Na: 0.0000 0.0000 0.0000  6 O 2.52
Li: 0.4280 0.4280 0.4280  3 O 1.85
Li: 0.5720 0.5720 0.5720  3 O 1.85
Hf: 0.1589 0.1589 0.1589  3 O 1.90
Hf: 0.8411 0.8411 0.8411  3 O 1.90
O: 0.2053 0.7414 0.7414  1 Li 1.85, 1 Hf 1.90
O: 0.2586 0.2586 0.7947  1 Li 1.85, 1 Hf 1.90
O: 0.2586 0.7947 0.2586  1 Li 1.85, 1 Hf 1.90
O: 0.7414 0.2053 0.7414  1 Li 1.85, 1 Hf 1.90
O: 0.7414 0.7414 0.2053  1 Li 1.85, 1 Hf 1.90
O: 0.7947 0.2586 0.2586  1 Li 1.85, 1 Hf 1.90

symmetry	R-3m, No. 166
E_form (uncorrected)	-2016	meV/atom


What did the tenth record say?
VASP calculation (PBE) on an optimized crystal structure of Na4LiHf3O8.

Cell: 6.6229 6.6229 6.6229 Å, 57.48 57.48 57.48°
With the nearest neighbours (Å) after each atom.
Atoms (fractional coordinates):
Na: 0.0000 0.0000 0.0000  6 O 2.37
Na: 0.0000 0.5000 0.5000  6 O 2.43-2.49
Na: 0.5000 0.0000 0.5000  6 O 2.43-2.49
Na: 0.5000 0.5000 0.0000  6 O 2.43-2.49
Li: 0.5000 0.5000 0.5000  6 O 2.25
Hf: 0.0000 0.0000 0.5000  6 O 2.12-2.18
Hf: 0.0000 0.5000 0.0000  6 O 2.12-2.18
Hf: 0.5000 0.0000 0.0000  6 O 2.12-2.18
O: 0.2171 0.7447 0.7447  2 Hf 2.12, 1 Li 2.25, 1 Na 2.37
O: 0.2371 0.2371 0.2371  3 Hf 2.18, 3 Na 2.43
O: 0.2553 0.2553 0.7829  2 Hf 2.12, 1 Li 2.25, 1 Na 2.37
O: 0.2553 0.7829 0.2553  2 Hf 2.12, 1 Li 2.25, 1 Na 2.37
O: 0.7447 0.2171 0.7447  2 Hf 2.12, 1 Li 2.25, 1 Na 2.37
O: 0.7447 0.7447 0.2171  2 Hf 2.12, 1 Li 2.25, 1 Na 2.37
O: 0.7629 0.7629 0.7629  3 Hf 2.18, 3 Na 2.43
O: 0.7829 0.2553 0.2553  2 Hf 2.12, 1 Li 2.25, 1 Na 2.37

symmetry	R-3m, No. 166
E_form (uncorrected)	-2582	meV/atom


Number 8 is which compound? NaLiHfO3


Please write out number 7 again, unchanged.
VASP calculation (PBE) on an optimized crystal structure of Na2Li2HfO4.

Cell: 5.7833 5.7833 7.8352 Å, 126.13 126.13 32.36°
With the nearest neighbours (Å) after each atom.
Atoms (fractional coordinates):
Na: 0.1751 0.1751 0.2826  5 O 2.35-2.48
Na: 0.8249 0.8249 0.7174  5 O 2.35-2.48
Li: 0.3434 0.3434 0.1162  4 O 1.95-2.01
Li: 0.6566 0.6566 0.8838  4 O 1.95-2.01
Hf: 0.0000 0.0000 0.5000  6 O 2.08-2.14
O: 0.2140 0.2140 0.8009  3 Li 1.95-1.98, 1 Hf 2.08
O: 0.4390 0.4390 0.6135  1 Li 2.01, 2 Hf 2.14
O: 0.5610 0.5610 0.3865  1 Li 2.01, 2 Hf 2.14
O: 0.7860 0.7860 0.1991  3 Li 1.95-1.98, 1 Hf 2.08

symmetry	C2/m, No. 12
E_form (uncorrected)	-2346	meV/atom